The following is a DFT calculation (PBE-GGA) of a relaxed Tl3CdSb2Te6 crystal.

The calculation puts the total energy at -37.87 eV for the cell shown. The space group is C2/m (12). Its formation energy from raw total energies is -0.23 eV/atom.

Unit cell a=7.717 b=7.717 c=8.157 alpha=98.99 beta=98.99 gamma=120.03
Element x y z (fractional)
1 Te 0.256 0.256 0.780
2 Tl 0.831 0.169 0.500
3 Te 0.074 0.404 0.222
4 Te 0.404 0.074 0.222
5 Sb 0.335 0.665 0.000
6 Cd 0.000 0.000 0.000
7 Tl 0.500 0.500 0.500
8 Te 0.596 0.926 0.778
9 Te 0.926 0.596 0.778
10 Te 0.744 0.744 0.220
11 Sb 0.665 0.335 0.000
12 Tl 0.169 0.831 0.500